No. 1
CsNa2Be6B5O15: optimized geometry, PBEsol.

a = 4.4291 Å, b = 7.2833 Å, c = 10.8802 Å
α = 102.57°, β = 90.00°, γ = 107.70°
Closest atoms and distances in Å follow each position.
Element x y z (fractional)
Cs (0.4865, 0.0000, 0.0000)  8 O 3.21-3.45
Na (0.7774, 0.6256, 0.4575)  6 O 2.36-2.64
Na (0.1518, 0.3744, 0.5425)  6 O 2.36-2.64
Be (0.2040, 0.4860, 0.0776)  4 O 1.58-1.66
Be (0.7180, 0.5140, 0.9224)  4 O 1.58-1.66
Be (0.3169, 0.7178, 0.2974)  4 O 1.61-1.65
Be (0.5991, 0.2822, 0.7026)  4 O 1.61-1.65
Be (0.9456, 0.9765, 0.3656)  4 O 1.53-1.68
Be (0.9691, 0.0235, 0.6344)  4 O 1.53-1.68
B (0.1383, 0.3337, 0.2756)  3 O 1.36-1.42
B (0.8046, 0.6663, 0.7244)  3 O 1.36-1.42
B (0.7979, 0.6775, 0.1638)  3 O 1.37-1.38
B (0.1205, 0.3225, 0.8362)  3 O 1.37-1.38
B (0.4520, 0.0000, 0.5000)  3 O 1.37
O (0.1066, 0.6747, 0.1646)  1 B 1.37
O (0.4320, 0.3253, 0.8354)  1 B 1.37
O (0.5903, 0.5764, 0.0606)  1 B 1.37
O (0.0139, 0.4236, 0.9394)  1 B 1.37
O (0.2283, 0.5254, 0.3573)  1 B 1.42
O (0.7029, 0.4746, 0.6427)  1 B 1.42
O (0.7618, 0.0000, 0.5000)  1 B 1.37
O (0.2418, 0.8950, 0.3978)  1 B 1.37
O (0.3468, 0.1050, 0.6022)  1 B 1.37
O (0.6960, 0.7830, 0.2683)  1 B 1.38
O (0.9131, 0.2170, 0.7317)  1 B 1.38
O (0.1290, 0.3099, 0.1473)  1 B 1.37
O (0.8192, 0.6901, 0.8527)  1 B 1.37
O (0.0641, 0.1799, 0.3338)  1 B 1.36
O (0.8842, 0.8201, 0.6662)  1 B 1.36

The calculation puts the uncorrected formation energy at -73.4 eV/f.u. Its volume is 326 Å³/cell.

***

No. 2
SrMgTe: optimized geometry, PBEsol.

a = 4.3726 Å, b = 4.3726 Å, c = 6.3636 Å
α = 90.00°, β = 90.00°, γ = 120.00°
Closest atoms and distances in Å follow each position.
Element x y z (fractional)
Sr (0.6667, 0.3333, 0.6341)  3 Te 3.28
Mg (0.0000, 0.0000, 0.0612)  3 Te 2.96
Te (0.3333, 0.6667, 0.3047)  3 Mg 2.96, 3 Sr 3.28

The calculation puts the uncorrected formation energy at -2.3 eV/f.u. Its volume is 105 Å³/cell.

***

No. 3
CrReRu: optimized geometry, PBEsol.

a = 2.6576 Å, b = 2.6576 Å, c = 5.8955 Å
α = 103.03°, β = 103.03°, γ = 90.00°
Closest atoms and distances in Å follow each position.
Element x y z (fractional)
Cr (0.9952, 0.9952, 0.9904)  4 Ru 2.55, 4 Cr 2.66, 4 Re 2.66
Re (0.6640, 0.6640, 0.3280)  4 Re 2.66, 4 Cr 2.66, 4 Ru 2.73
Ru (0.3408, 0.3408, 0.6816)  4 Cr 2.55, 4 Ru 2.66, 4 Re 2.73

The value obtained for the formation energy is 0.14 eV per atom. Its volume is 39 Å³/cell.